Here is a relaxed LiTb4DyS8 crystal from Alexandria. Energies are from PBE-GGA.

Cell lengths 8.035, 8.035, 8.035 Å; angles 60.09, 60.09, 60.09 degrees
Positions (direct):
Li 0.000 0.000 0.000
Tb 0.370 0.370 0.888
Tb 0.370 0.888 0.370
Tb 0.750 0.750 0.750
Tb 0.888 0.370 0.370
Dy 0.370 0.370 0.370
S 0.131 0.131 0.131
S 0.132 0.132 0.605
S 0.132 0.605 0.132
S 0.151 0.615 0.615
S 0.605 0.132 0.132
S 0.615 0.151 0.615
S 0.615 0.615 0.151
S 0.616 0.616 0.616

Output
- SG = No. 160
- uncorrected energy (eV/f.u.) = -85.607

Here is a relaxed ZrCrAs3 crystal from Alexandria. Energies are from PBE-GGA.

Cell lengths 5.125, 5.125, 5.125 Å; angles 90.00, 90.00, 90.00 degrees
Positions (direct):
Zr 0.000 0.000 0.000
Cr 0.500 0.500 0.500
As 0.000 0.000 0.500
As 0.000 0.500 0.000
As 0.500 0.000 0.000

Output
- excess energy over the best structure of this formula in the dataset (meV per atom) = 709
- SG = No. 221
- DFT formation energy (eV per formula unit) = 5.20

Here is a relaxed MgCdFeI2 crystal from Alexandria. Energies are from PBE-GGA.

Cell lengths 5.646, 5.646, 5.734 Å; angles 90.00, 90.00, 90.00 degrees
Positions (direct):
Mg 0.000 0.000 0.000
Cd 0.500 0.500 0.500
Fe 0.000 0.000 0.500
I 0.000 0.500 0.000
I 0.500 0.000 0.000

Output
- SG = No. 123
- uncorrected energy (eV/f.u.) = -11.771

Here is a relaxed KNaGa2H8 crystal from Alexandria. Energies are from PBE-GGA.

Cell lengths 8.198, 8.198, 8.198 Å; angles 35.79, 35.79, 35.79 degrees
Positions (direct):
K 0.000 0.000 0.000
Na 0.500 0.500 0.500
Ga 0.248 0.248 0.248
Ga 0.752 0.752 0.752
H 0.059 0.801 0.459
H 0.199 0.541 0.941
H 0.318 0.318 0.318
H 0.459 0.059 0.801
H 0.541 0.941 0.199
H 0.682 0.682 0.682
H 0.801 0.459 0.059
H 0.941 0.199 0.541

Output
- SG = No. 148
- uncorrected energy (eV/f.u.) = -37.166

Here is a relaxed TmPd4Pb crystal from Alexandria. Energies are from PBE-GGA.

Cell lengths 5.416, 5.416, 5.416 Å; angles 60.00, 60.00, 60.00 degrees
Positions (direct):
Tm 0.000 0.000 0.000
Pd 0.125 0.625 0.625
Pd 0.625 0.125 0.625
Pd 0.625 0.625 0.125
Pd 0.625 0.625 0.625
Pb 0.250 0.250 0.250

Output
- excess energy over the best structure of this formula in the dataset (meV per atom) = 26
- SG = No. 216
- DFT formation energy (eV per formula unit) = -3.24

Here is a relaxed PaMnFeSi crystal from Alexandria. Energies are from PBE-GGA.

Cell lengths 6.187, 6.187, 6.187 Å; angles 90.00, 90.00, 90.00 degrees
Positions (direct):
Pa 0.000 0.000 0.000
Pa 0.000 0.500 0.500
Pa 0.500 0.000 0.500
Pa 0.500 0.500 0.000
Mn 0.250 0.250 0.250
Mn 0.250 0.750 0.750
Mn 0.750 0.250 0.750
Mn 0.750 0.750 0.250
Fe 0.250 0.250 0.750
Fe 0.250 0.750 0.250
Fe 0.750 0.250 0.250
Fe 0.750 0.750 0.750
Si 0.000 0.000 0.500
Si 0.000 0.500 0.000
Si 0.500 0.000 0.000
Si 0.500 0.500 0.500

Output
- SG = No. 216
- uncorrected energy (eV/f.u.) = -33.337